Here is a geometry-optimized Rb12TlHg6 structure from Alexandria. Energies are from PBE-GGA.

CIF file:
```
data_Rb12TlHg6
_chemical_formula_sum 'Rb24 Tl2 Hg12'
_space_group_name_H-M_alt 'I m -3'
_space_group_IT_number 204
_space_group_name_Hall '-I 2 2 3'
_cell_length_a 12.7942
_cell_length_b 12.7942
_cell_length_c 12.7942
_cell_angle_alpha 90.00
_cell_angle_beta 90.00
_cell_angle_gamma 90.00
loop_
_atom_site_label
_atom_site_fract_x
_atom_site_fract_y
_atom_site_fract_z
_atom_site_occupancy
Rb1 0.0000 0.2923 0.1820 1
Tl1 0.0000 0.0000 0.0000 1
Hg1 0.0000 0.1184 0.5000 1
```

## Properties
energy of formation: -0.14 eV/atom
spin magnetization: 0.00 μB per formula unit



Here is a geometry-optimized Nd5Y2ErTm structure from Alexandria. Energies are from PBE-GGA.

CIF file:
```
data_Nd5Y2ErTm
_chemical_formula_sum 'Nd20 Y8 Er4 Tm4'
_space_group_name_H-M_alt 'C m c 21'
_space_group_IT_number 36
_cell_length_a 5.6600
_cell_length_b 20.4407
_cell_length_c 10.6857
_cell_angle_alpha 90.00
_cell_angle_beta 90.00
_cell_angle_gamma 90.00
loop_
_space_group_symop_operation_xyz
'x,y,z'
'-x,-y,z+1/2'
'-x,y,z'
'x,-y,z+1/2'
'x+1/2,y+1/2,z'
'-x+1/2,-y+1/2,z+1/2'
'-x+1/2,y+1/2,z'
'x+1/2,-y+1/2,z+1/2'
loop_
_atom_site_label
_atom_site_fract_x
_atom_site_fract_y
_atom_site_fract_z
_atom_site_occupancy
Nd1 0.0000 0.0155 0.0000 1
Nd2 0.0000 0.1156 0.2751 1
Nd3 0.0000 0.2027 0.9621 1
Nd4 0.0000 0.2203 0.5688 1
Nd5 0.0000 0.4831 0.2710 1
Y1 0.0000 0.3859 0.5635 1
Y2 0.0000 0.3870 0.9927 1
Er1 0.0000 0.0932 0.7210 1
Tm1 0.0000 0.3009 0.2661 1
```

## Properties
energy of formation: 0.14 eV/atom
spin magnetization: 0.01 μB per formula unit



Copy entry 2 word for word.
Here is a geometry-optimized Nd5Y2ErTm structure from Alexandria. Energies are from PBE-GGA.

CIF file:
```
data_Nd5Y2ErTm
_chemical_formula_sum 'Nd20 Y8 Er4 Tm4'
_space_group_name_H-M_alt 'C m c 21'
_space_group_IT_number 36
_cell_length_a 5.6600
_cell_length_b 20.4407
_cell_length_c 10.6857
_cell_angle_alpha 90.00
_cell_angle_beta 90.00
_cell_angle_gamma 90.00
loop_
_space_group_symop_operation_xyz
'x,y,z'
'-x,-y,z+1/2'
'-x,y,z'
'x,-y,z+1/2'
'x+1/2,y+1/2,z'
'-x+1/2,-y+1/2,z+1/2'
'-x+1/2,y+1/2,z'
'x+1/2,-y+1/2,z+1/2'
loop_
_atom_site_label
_atom_site_fract_x
_atom_site_fract_y
_atom_site_fract_z
_atom_site_occupancy
Nd1 0.0000 0.0155 0.0000 1
Nd2 0.0000 0.1156 0.2751 1
Nd3 0.0000 0.2027 0.9621 1
Nd4 0.0000 0.2203 0.5688 1
Nd5 0.0000 0.4831 0.2710 1
Y1 0.0000 0.3859 0.5635 1
Y2 0.0000 0.3870 0.9927 1
Er1 0.0000 0.0932 0.7210 1
Tm1 0.0000 0.3009 0.2661 1
```

## Properties
energy of formation: 0.14 eV/atom
spin magnetization: 0.01 μB per formula unit